Material: NaZrSnIr2
Method: DFT, PBE
State: relaxed

Its total moment is 0.0 Bohr magnetons per cell. The formation energy is 1.028 eV per atom. As for the density of states at the Fermi level: 1.718 states/eV per atom. As for the total energy: -26.5 eV for the cell shown.

It has space group P4/mmm (No. 123), with a = 4.913 Å, b = 4.913 Å, c = 4.764 Å, α = 90.00°, β = 90.00° and γ = 90.00°. Symmetry generates all atoms from Na at (0.000, 0.000, 0.000), Zr at (0.500, 0.500, 0.000), Sn at (0.000, 0.000, 0.500) and Ir at (0.000, 0.500, 0.500).

---

Material: Na3Sr7Ir
Method: DFT, PBE
State: relaxed

Its total moment is 0.0 Bohr magnetons per cell. The formation energy is -0.013 eV per atom. As for the density of states at the Fermi level: 0.745 states/eV per atom. As for the total energy: -49.5 eV for the cell shown.

It has space group Cm (No. 8), with a = 10.660 Å, b = 11.796 Å, c = 8.066 Å, α = 90.00°, β = 101.85° and γ = 90.00°. Symmetry generates all atoms from Na at (0.000, 0.000, 0.000), Na at (0.071, 0.159, 0.348), Sr at (0.195, 0.500, 0.613), Sr at (0.213, 0.335, 0.071), Sr at (0.216, 0.000, 0.734), Sr at (0.403, 0.000, 0.190), Sr at (0.440, 0.225, 0.695) and Ir at (0.016, 0.500, 0.870).

---

Material: Na2Sr4Ir
Method: DFT, PBE
State: relaxed

Its total moment is 0.0 Bohr magnetons per cell. The formation energy is -0.047 eV per atom. As for the density of states at the Fermi level: 0.475 states/eV per atom. As for the total energy: -37.1 eV for the cell shown. The energy above the most stable polymorph in this dataset comes out at 0 meV per atom.

It has space group I4/mmm (No. 139), with a = 5.878 Å, b = 5.878 Å, c = 18.707 Å, α = 90.00°, β = 90.00° and γ = 90.00°. Symmetry generates all atoms from Na at (0.000, 0.000, 0.139), Sr at (0.000, 0.000, 0.343), Sr at (0.000, 0.500, 0.000) and Ir at (0.000, 0.000, 0.500).

---

Material: NaSr2Ir2
Method: DFT, PBE
State: relaxed

Its total moment is 1.9 Bohr magnetons per cell. The formation energy is 0.121 eV per atom. As for the density of states at the Fermi level: 0.974 states/eV per atom. As for the total energy: -43.6 eV for the cell shown. The energy above the most stable polymorph in this dataset comes out at 0 meV per atom.

It has space group P4/mbm (No. 127), with a = 7.738 Å, b = 7.738 Å, c = 4.485 Å, α = 90.00°, β = 90.00° and γ = 90.00°. Symmetry generates all atoms from Na at (0.000, 0.000, 0.000), Sr at (0.172, 0.328, 0.500) and Ir at (0.113, 0.613, 0.000).

---

Material: Na2Sr5Ir
Method: DFT, PBE
State: relaxed

Its total moment is 0.0 Bohr magnetons per cell. The formation energy is -0.009 eV per atom. As for the density of states at the Fermi level: 0.602 states/eV per atom. As for the total energy: -20.0 eV for the cell shown.

It has space group P1 (No. 1), with a = 7.510 Å, b = 7.541 Å, c = 7.542 Å, α = 81.60°, β = 67.00° and γ = 67.10°. Symmetry generates all atoms from Na at (0.000, 0.000, 0.000), Na at (0.001, 0.321, 0.677), Sr at (0.103, 0.787, 0.465), Sr at (0.370, 0.335, 0.016), Sr at (0.513, 0.917, 0.596), Sr at (0.692, 0.340, 0.431), Sr at (0.694, 0.751, 0.018) and Ir at (0.744, 0.060, 0.739).

---

Material: Na2Sr4Ir
Method: DFT, PBE
State: relaxed

Its total moment is 0.0 Bohr magnetons per cell. The formation energy is -0.037 eV per atom. As for the density of states at the Fermi level: 0.660 states/eV per atom. As for the total energy: -37.0 eV for the cell shown. The energy above the most stable polymorph in this dataset comes out at 10 meV per atom.

It has space group P2_1/m (No. 11), with a = 8.948 Å, b = 7.700 Å, c = 9.155 Å, α = 90.00°, β = 108.61° and γ = 90.00°. Symmetry generates all atoms from Na at (0.018, 0.250, 0.173), Na at (0.293, 0.750, 0.692), Sr at (0.029, 0.250, 0.720), Sr at (0.343, 0.503, 0.088), Sr at (0.375, 0.250, 0.535) and Ir at (0.378, 0.250, 0.852).

---

Material: NaSr2Ir2
Method: DFT, PBE
State: relaxed

Its total moment is 2.3 Bohr magnetons per cell. The formation energy is 0.311 eV per atom. As for the density of states at the Fermi level: 0.740 states/eV per atom. As for the total energy: -41.7 eV for the cell shown. The energy above the most stable polymorph in this dataset comes out at 190 meV per atom.

It has space group I4/mmm (No. 139), with a = 5.809 Å, b = 5.809 Å, c = 8.799 Å, α = 90.00°, β = 90.00° and γ = 90.00°. Symmetry generates all atoms from Na at (0.000, 0.000, 0.000), Sr at (0.000, 0.500, 0.250) and Ir at (0.000, 0.000, 0.361).

---

Material: Na3SrIr
Method: DFT, PBE
State: relaxed

Its total moment is 0.0 Bohr magnetons per cell. The formation energy is 0.528 eV per atom. As for the density of states at the Fermi level: 0.496 states/eV per atom. As for the total energy: -11.9 eV for the cell shown. The energy above the most stable polymorph in this dataset comes out at 0 meV per atom.

It has space group Pm-3m (No. 221), with a = 5.487 Å, b = 5.487 Å, c = 5.487 Å, α = 90.00°, β = 90.00° and γ = 90.00°. Symmetry generates all atoms from Na at (0.000, 0.000, 0.500), Sr at (0.500, 0.500, 0.500) and Ir at (0.000, 0.000, 0.000).

---

Material: Na2SrIr
Method: DFT, PBE
State: relaxed

Its total moment is 0.0 Bohr magnetons per cell. The formation energy is 0.371 eV per atom. As for the density of states at the Fermi level: 0.972 states/eV per atom. As for the total energy: -46.8 eV for the cell shown. The energy above the most stable polymorph in this dataset comes out at 5 meV per atom.

It has space group I-42d (No. 122), with a = 4.365 Å, b = 4.365 Å, c = 22.744 Å, α = 90.00°, β = 90.00° and γ = 90.00°. Symmetry generates all atoms from Na at (0.203, 0.250, 0.125), Sr at (0.000, 0.000, 0.500) and Ir at (0.000, 0.000, 0.000).

---

Material: Na6Sr12Ir
Method: DFT, PBE
State: relaxed

Its total moment is 0.0 Bohr magnetons per cell. The formation energy is 0.058 eV per atom. As for the density of states at the Fermi level: 0.807 states/eV per atom. As for the total energy: -107.6 eV for the cell shown.

It has space group R-3 (No. 148, hexagonal axes), with a = 14.3480 Å, b = 14.3480 Å, c = 15.9568 Å, α = 90.00°, β = 90.00° and γ = 120.00°. Symmetry generates all atoms from Na at (0.0478, 0.1852, 0.3195), Sr at (0.0401, 0.4389, 0.2207), Sr at (0.0576, 0.8684, 0.8966) and Ir at (0.0000, 0.0000, 0.0000).

---

Material: Na2SrIr
Method: DFT, PBE
State: relaxed

Its total moment is 0.0 Bohr magnetons per cell. The formation energy is 0.366 eV per atom. As for the density of states at the Fermi level: 0.759 states/eV per atom. As for the total energy: -46.9 eV for the cell shown. The energy above the most stable polymorph in this dataset comes out at 0 meV per atom.

It has space group Fm-3m (No. 225), with a = 7.237 Å, b = 7.237 Å, c = 7.237 Å, α = 90.00°, β = 90.00° and γ = 90.00°. Symmetry generates all atoms from Na at (0.250, 0.250, 0.250), Sr at (0.000, 0.000, 0.000) and Ir at (0.000, 0.000, 0.500).

---

Material: Na2Sr5Ir2
Method: DFT, PBE
State: relaxed

Its total moment is 0.0 Bohr magnetons per cell. The formation energy is -0.122 eV per atom. As for the density of states at the Fermi level: 0.725 states/eV per atom. As for the total energy: -119.5 eV for the cell shown.

It has space group Cmce (No. 64), with a = 20.477 Å, b = 8.179 Å, c = 8.165 Å, α = 90.00°, β = 90.00° and γ = 90.00°. Symmetry generates all atoms from Na at (0.232, 0.000, 0.000), Sr at (0.000, 0.000, 0.000), Sr at (0.099, 0.175, 0.325) and Ir at (0.000, 0.113, 0.613).

---

Material: NaSr6Ir2
Method: DFT, PBE
State: relaxed

Its total moment is 0.0 Bohr magnetons per cell. The formation energy is -0.114 eV per atom. As for the density of states at the Fermi level: 0.820 states/eV per atom. As for the total energy: -120.6 eV for the cell shown.

It has space group Immm (No. 71), with a = 10.691 Å, b = 10.866 Å, c = 11.521 Å, α = 90.00°, β = 90.00° and γ = 90.00°. Symmetry generates all atoms from Na at (0.000, 0.000, 0.000), Na at (0.000, 0.000, 0.500), Sr at (0.000, 0.228, 0.224), Sr at (0.186, 0.500, 0.176), Sr at (0.200, 0.321, 0.500), Ir at (0.000, 0.378, 0.000) and Ir at (0.000, 0.500, 0.386).

---

Material: NaSr5Ir
Method: DFT, PBE
State: relaxed

Its total moment is 0.0 Bohr magnetons per cell. The formation energy is -0.069 eV per atom. As for the density of states at the Fermi level: 0.688 states/eV per atom. As for the total energy: -76.3 eV for the cell shown.

It has space group C2/c (No. 15), with a = 14.061 Å, b = 8.097 Å, c = 12.328 Å, α = 90.00°, β = 113.28° and γ = 90.00°. Symmetry generates all atoms from Na at (0.000, 0.002, 0.250), Sr at (0.000, 0.467, 0.250), Sr at (0.119, 0.201, 0.033), Sr at (0.189, 0.315, 0.617) and Ir at (0.000, 0.500, 0.000).

---

Material: NaSr6Ir
Method: DFT, PBE
State: relaxed

Its total moment is 0.0 Bohr magnetons per cell. The formation energy is -0.094 eV per atom. As for the density of states at the Fermi level: 0.512 states/eV per atom. As for the total energy: -42.0 eV for the cell shown.

It has space group C2/m (No. 12), with a = 9.539 Å, b = 11.523 Å, c = 7.438 Å, α = 90.00°, β = 105.67° and γ = 90.00°. Symmetry generates all atoms from Na at (0.000, 0.000, 0.000), Sr at (0.100, 0.321, 0.778), Sr at (0.222, 0.000, 0.587) and Ir at (0.000, 0.500, 0.500).

---

Material: Na3SrIr
Method: DFT, PBE
State: relaxed

Its total moment is 0.0 Bohr magnetons per cell. The formation energy is 1.687 eV per atom. As for the density of states at the Fermi level: 0.593 states/eV per atom. As for the total energy: -6.1 eV for the cell shown. The energy above the most stable polymorph in this dataset comes out at 1159 meV per atom.

It has space group Pm-3m (No. 221), with a = 5.660 Å, b = 5.660 Å, c = 5.660 Å, α = 90.00°, β = 90.00° and γ = 90.00°. Symmetry generates all atoms from Na at (0.000, 0.000, 0.500), Sr at (0.000, 0.000, 0.000) and Ir at (0.500, 0.500, 0.500).

---

Material: Na2Sr8Ir
Method: DFT, PBE
State: relaxed

Its total moment is 0.0 Bohr magnetons per cell. The formation energy is -0.042 eV per atom. As for the density of states at the Fermi level: 0.753 states/eV per atom. As for the total energy: -50.8 eV for the cell shown.

It has space group C2/m (No. 12), with a = 19.889 Å, b = 8.334 Å, c = 6.977 Å, α = 90.00°, β = 110.24° and γ = 90.00°. Symmetry generates all atoms from Na at (0.248, 0.000, 0.012), Sr at (0.061, 0.249, 0.803), Sr at (0.129, 0.000, 0.393), Sr at (0.143, 0.500, 0.381) and Ir at (0.000, 0.000, 0.500).

---

Material: Na4Sr7Ir
Method: DFT, PBE
State: relaxed

Its total moment is 0.0 Bohr magnetons per cell. The formation energy is 0.004 eV per atom. As for the density of states at the Fermi level: 0.862 states/eV per atom. As for the total energy: -51.7 eV for the cell shown.

It has space group C2/m (No. 12), with a = 17.033 Å, b = 5.947 Å, c = 12.732 Å, α = 90.00°, β = 115.11° and γ = 90.00°. Symmetry generates all atoms from Na at (0.088, 0.000, 0.264), Na at (0.246, 0.500, 0.241), Sr at (0.000, 0.000, 0.500), Sr at (0.070, 0.500, 0.752), Sr at (0.157, 0.000, 0.013), Sr at (0.173, 0.500, 0.517) and Ir at (0.000, 0.500, 0.500).

---

Material: NaSrIr4
Method: DFT, PBE
State: relaxed

Its total moment is 0.0 Bohr magnetons per cell. The formation energy is -0.015 eV per atom. As for the density of states at the Fermi level: 1.349 states/eV per atom. As for the total energy: -154.1 eV for the cell shown.

It has space group F-43m (No. 216), with a = 7.617 Å, b = 7.617 Å, c = 7.617 Å, α = 90.00°, β = 90.00° and γ = 90.00°. Symmetry generates all atoms from Na at (0.000, 0.000, 0.000), Sr at (0.250, 0.250, 0.250) and Ir at (0.125, 0.125, 0.625).

---

Material: NaSr8Ir2
Method: DFT, PBE
State: relaxed

Its total moment is 0.0 Bohr magnetons per cell. The formation energy is -0.100 eV per atom. As for the density of states at the Fermi level: 0.522 states/eV per atom. As for the total energy: -67.2 eV for the cell shown.

It has space group C2/m (No. 12), with a = 17.664 Å, b = 7.528 Å, c = 7.164 Å, α = 90.00°, β = 99.50° and γ = 90.00°. Symmetry generates all atoms from Na at (0.000, 0.000, 0.000), Sr at (0.077, 0.500, 0.816), Sr at (0.146, 0.249, 0.386), Sr at (0.206, 0.000, 0.904) and Ir at (0.226, 0.500, 0.689).

---

Material: NaSrIr
Method: DFT, PBE
State: relaxed

Its total moment is 0.0 Bohr magnetons per cell. The formation energy is -0.171 eV per atom. As for the density of states at the Fermi level: 1.070 states/eV per atom. As for the total energy: -24.7 eV for the cell shown. The energy above the most stable polymorph in this dataset comes out at 0 meV per atom.

It has space group P1 (No. 1), with a = 4.337 Å, b = 4.338 Å, c = 13.704 Å, α = 80.94°, β = 80.92° and γ = 60.01°. Symmetry generates all atoms from Na at (0.000, 0.000, 0.000), Na at (0.400, 0.403, 0.799), Sr at (0.149, 0.152, 0.549), Sr at (0.248, 0.251, 0.251), Ir at (0.532, 0.535, 0.400) and Ir at (0.865, 0.868, 0.400).

---

Material: Na3Sr7Ir2
Method: DFT, PBE
State: relaxed

Its total moment is 0.0 Bohr magnetons per cell. The formation energy is -0.107 eV per atom. As for the density of states at the Fermi level: 0.726 states/eV per atom. As for the total energy: -69.5 eV for the cell shown.

It has space group Cmmm (No. 65), with a = 5.935 Å, b = 29.392 Å, c = 5.935 Å, α = 90.00°, β = 90.00° and γ = 90.00°. Symmetry generates all atoms from Na at (0.000, 0.000, 0.000), Na at (0.000, 0.203, 0.000), Sr at (0.000, 0.102, 0.500), Sr at (0.000, 0.301, 0.500), Sr at (0.000, 0.400, 0.000), Sr at (0.000, 0.500, 0.500) and Ir at (0.000, 0.399, 0.500).